[1]
The following is a DFT calculation (GGA-PBE) of Sb2TeOsRu after structural relaxation.

* electronic total energy: -25.405 eV/f.u.
* ΔE_f (raw): 1297 meV per atom
* Fermi-level density of states: 3.9 states/eV/cell
* calculated density: 8.36 Mg/m³

```
Sb2TeOsRu
1.0
5.010 0.000 0.000
0.000 5.010 0.000
0.000 0.000 5.241
Sb Te Os Ru
2 1 1 1
direct
0.000 0.500 0.000 Sb
0.500 0.000 0.000 Sb
0.000 0.000 0.500 Te
0.000 0.000 0.000 Os
0.500 0.500 0.500 Ru
```


[2]
The following is a DFT calculation (GGA-PBE) of Y2AsIr after structural relaxation.

* electronic total energy: -27.651 eV/f.u.
* formation energy from the elements: -0.30 eV per atom
* Fermi-level density of states: 1.9 states/eV/cell
* calculated density: 8.99 Mg/m³

```
Y2AsIr
1.0
0.000 3.451 3.451
3.451 0.000 3.451
3.451 3.451 0.000
Y As Ir
2 1 1
direct
0.000 0.000 0.000 Y
0.250 0.250 0.250 Y
0.500 0.500 0.500 As
0.750 0.750 0.750 Ir
```


[3]
The following is a DFT calculation (GGA-PBE) of Ni2PtRh after structural relaxation.

* electronic total energy: -24.987 eV/f.u.
* formation energy from the elements: -0.01 eV per atom
* Fermi-level density of states: 6.9 states/eV/cell
* calculated density: 12.96 Mg/m³

```
Ni2PtRh
1.0
1.347 0.778 8.459
-1.347 0.778 8.459
0.000 -1.556 8.459
Ni Pt Rh
2 1 1
direct
0.248 0.248 0.248 Ni
0.752 0.752 0.752 Ni
0.000 0.000 0.000 Pt
0.500 0.500 0.500 Rh
```


[4]
The following is a DFT calculation (GGA-PBE) of Cr2Os2Pt after structural relaxation.

* electronic total energy: -45.514 eV/f.u.
* formation energy from the elements: 0.45 eV per atom
* Fermi-level density of states: 3.6 states/eV/cell
* calculated density: 14.94 Mg/m³

```
Cr2Os2Pt
1.0
-1.930 1.930 5.070
1.930 -1.930 5.070
1.930 1.930 -5.070
Cr Os Pt
2 2 1
direct
0.108 0.108 0.000 Cr
0.892 0.892 0.000 Cr
0.250 0.750 0.500 Os
0.750 0.250 0.500 Os
0.500 0.500 0.000 Pt
```